Entry 1:
A plane-wave DFT calculation with PBE was carried out for an optimized crystal structure of PaSnB2O8.

Computed properties:
raw formation energy = -52.62 kcal/mol of atoms
raw total energy = -93.90 eV per formula unit

Cell: 4.6396 4.6396 6.9903 Å, 90.00 90.00 67.01°
With the nearest neighbours (Å) after each atom.
Sites, in units of the cell vectors:
Pa 0.0000 0.0000 0.0000  6 O 2.07-2.30
O 0.7056 0.2225 0.7335  1 B 1.49
Sn 0.0000 0.0000 0.5000  6 O 2.05-2.12
O 0.2620 0.2620 0.5482  1 B 1.46
O 0.7775 0.2944 0.2665  1 B 1.49
B 0.3575 0.3575 0.7286  4 O 1.46-1.49
O 0.2944 0.7775 0.2665  1 B 1.49
O 0.7456 0.7456 0.0920  1 B 1.49
O 0.2544 0.2544 0.9080  1 B 1.49
O 0.7380 0.7380 0.4518  1 B 1.46
O 0.2225 0.7056 0.7335  1 B 1.49
B 0.6425 0.6425 0.2714  4 O 1.46-1.49

=====

Entry 2:
A plane-wave DFT calculation with PBE was carried out for an optimized crystal structure of SrPa2BO8.

Computed properties:
raw formation energy = -61.40 kcal/mol of atoms
raw total energy = -98.97 eV per formula unit

Cell: 4.8677 4.8677 7.2861 Å, 90.00 90.00 120.00°
With the nearest neighbours (Å) after each atom.
Sites, in units of the cell vectors:
O 0.8383 0.6766 0.8624  1 B 1.69
Pa 0.6667 0.3333 0.1453  1 O 1.95
O 0.3234 0.1617 0.8624  1 B 1.69
Sr 0.0000 0.0000 0.5000  12 O 2.88-2.97
B 0.0000 0.0000 0.0000  6 O 1.69
O 0.1617 0.8383 0.1376  1 B 1.69
O 0.6667 0.3333 0.4128  1 Pa 1.95
O 0.3333 0.6667 0.5872  1 Pa 1.95
O 0.1617 0.3234 0.1376  1 B 1.69
O 0.8383 0.1617 0.8624  1 B 1.69
Pa 0.3333 0.6667 0.8547  1 O 1.95
O 0.6766 0.8383 0.1376  1 B 1.69

=====

Entry 3:
A plane-wave DFT calculation with PBE was carried out for an optimized crystal structure of SrPaB2O6.

Computed properties:
raw formation energy = -67.43 kcal/mol of atoms
raw total energy = -83.52 eV per formula unit

Cell: 5.2095 5.2095 6.6346 Å, 66.88 66.88 60.00°
With the nearest neighbours (Å) after each atom.
Sites, in units of the cell vectors:
Sr 0.0000 0.0000 0.0000  6 O 2.59
Pa 0.5000 0.5000 0.5000  6 O 2.29
O 0.2784 0.9632 0.2652  1 B 1.39
O 0.7216 0.0368 0.7348  1 B 1.39
O 0.5068 0.7216 0.7348  1 B 1.39
O 0.9632 0.4932 0.2652  1 B 1.39
B 0.2447 0.2447 0.2658  3 O 1.39
O 0.0368 0.5068 0.7348  1 B 1.39
B 0.7553 0.7553 0.7342  3 O 1.39
O 0.4932 0.2784 0.2652  1 B 1.39

=====

Entry 4:
A plane-wave DFT calculation with PBE was carried out for an optimized crystal structure of TbPaB2O8.

Computed properties:
raw formation energy = -59.79 kcal/mol of atoms
raw total energy = -98.26 eV per formula unit

Cell: 4.6852 4.6852 6.4854 Å, 111.17 111.17 90.00°
With the nearest neighbours (Å) after each atom.
Sites, in units of the cell vectors:
Tb 0.7500 0.2500 0.5000  8 O 2.34-2.42
O 0.4476 0.3228 0.1358  1 B 1.49
O 0.5652 0.7131 0.6457  1 B 1.49
Pa 0.0000 0.0000 0.0000  8 O 2.27-2.37
O 0.0674 0.4348 0.3543  1 B 1.49
B 0.5000 0.5000 0.0000  4 O 1.49
O 0.6772 0.3118 0.8642  1 B 1.49
O 0.0805 0.9326 0.6457  1 B 1.49
O 0.1870 0.5524 0.8642  1 B 1.49
O 0.2869 0.9195 0.3543  1 B 1.49
O 0.6882 0.8130 0.1358  1 B 1.49
B 0.2500 0.7500 0.5000  4 O 1.49

=====

Entry 5:
A plane-wave DFT calculation with PBE was carried out for an optimized crystal structure of PaB2TeO8.

Computed properties:
raw formation energy = -49.33 kcal/mol of atoms
raw total energy = -91.33 eV per formula unit

Cell: 5.3042 5.2990 6.4164 Å, 54.02 65.59 59.97°
With the nearest neighbours (Å) after each atom.
Sites, in units of the cell vectors:
O 0.1461 0.0137 0.2539  1 B 1.51
O 0.4137 0.9863 0.7461  1 B 1.51
B 0.7026 0.7471 0.8477  4 O 1.45-1.51
O 0.5863 0.0137 0.2539  1 B 1.51
O 0.6519 0.5657 0.1305  1 B 1.45
O 0.3481 0.4343 0.8695  1 B 1.45
O 0.8735 0.5141 0.7388  1 B 1.48
B 0.2974 0.2529 0.1523  4 O 1.45-1.51
O 0.1265 0.4859 0.2612  1 B 1.48
O 0.8539 0.9863 0.7461  1 B 1.51
Pa 0.5000 0.5000 0.5000  2 O 2.03
Te 0.0000 0.0000 0.0000  6 O 2.10-2.12

=====

Entry 6:
A plane-wave DFT calculation with PBE was carried out for an optimized crystal structure of PaTl2B2O6.

Computed properties:
raw formation energy = -52.47 kcal/mol of atoms
raw total energy = -82.36 eV per formula unit

Cell: 5.5536 5.5602 7.6259 Å, 111.55 90.00 119.96°
With the nearest neighbours (Å) after each atom.
Sites, in units of the cell vectors:
B 0.1037 0.2075 0.3101  3 O 1.39
O 0.7532 0.5065 0.6927  1 B 1.39
O 0.7522 0.9369 0.6910  1 B 1.39
Pa 0.5000 0.0000 0.5000  6 O 2.25
Tl 0.7169 0.4338 0.1554  6 O 2.97-3.00
O 0.8152 0.0631 0.3090  1 B 1.39
B 0.8963 0.7925 0.6899  3 O 1.39
Tl 0.2831 0.5662 0.8446  6 O 2.97-3.00
O 0.1848 0.9369 0.6910  1 B 1.39
O 0.2478 0.0631 0.3090  1 B 1.39
O 0.2468 0.4935 0.3073  1 B 1.39

=====

Entry 7:
A plane-wave DFT calculation with PBE was carried out for an optimized crystal structure of PaTlB2O8.

Computed properties:
raw formation energy = -44.97 kcal/mol of atoms
raw total energy = -88.29 eV per formula unit

Cell: 4.8285 4.8285 7.2238 Å, 93.40 93.40 66.20°
With the nearest neighbours (Å) after each atom.
Sites, in units of the cell vectors:
Pa 0.0000 0.0000 0.0000  6 O 2.10-2.23
O 0.7613 0.7613 0.0979  1 B 1.47
Tl 0.0000 0.0000 0.5000  2 O 2.15
O 0.3186 0.7786 0.2354  1 B 1.47
B 0.6519 0.6519 0.2520  4 O 1.47-1.48
O 0.2214 0.6814 0.7646  1 B 1.47
O 0.2642 0.2642 0.5598  1 B 1.48
O 0.6814 0.2214 0.7646  1 B 1.47
O 0.2387 0.2387 0.9021  1 B 1.47
O 0.7786 0.3186 0.2354  1 B 1.47
B 0.3481 0.3481 0.7480  4 O 1.47-1.48
O 0.7358 0.7358 0.4402  1 B 1.48

=====

Entry 8:
A plane-wave DFT calculation with PBE was carried out for an optimized crystal structure of Pa2TlBO8.

Computed properties:
raw formation energy = -50.18 kcal/mol of atoms
raw total energy = -93.81 eV per formula unit

Cell: 4.7891 4.7891 8.9388 Å, 90.00 90.00 120.00°
With the nearest neighbours (Å) after each atom.
Sites, in units of the cell vectors:
O 0.1622 0.3244 0.1122  1 B 1.68
Pa 0.3333 0.6667 0.8606  1 O 1.91
B 0.0000 0.0000 0.0000  6 O 1.68
O 0.1622 0.8378 0.1122  1 B 1.68
O 0.3244 0.1622 0.8878  1 B 1.68
Pa 0.6667 0.3333 0.1394  1 O 1.91
O 0.8378 0.1622 0.8878  1 B 1.68
O 0.6756 0.8378 0.1122  1 B 1.68
O 0.3333 0.6667 0.6466  1 Pa 1.91
O 0.6667 0.3333 0.3534  1 Pa 1.91
Tl 0.0000 0.0000 0.5000  6 O 3.06
O 0.8378 0.6756 0.8878  1 B 1.68

=====

Entry 9:
A plane-wave DFT calculation with PBE was carried out for an optimized crystal structure of PaTlB2O6.

Computed properties:
raw formation energy = -60.03 kcal/mol of atoms
raw total energy = -81.00 eV per formula unit

Cell: 7.2481 6.7292 6.7292 Å, 96.55 79.44 79.44°
With the nearest neighbours (Å) after each atom.
Sites, in units of the cell vectors:
O 0.2110 0.0069 0.6768  1 B 1.38
O 0.9387 0.4156 0.7668  1 B 1.39
O 0.7549 0.6960 0.6488  1 B 1.38
Pa 0.2500 0.3249 0.6751  6 O 2.18-2.21
O 0.2890 0.3232 0.9931  1 B 1.38
O 0.0613 0.5844 0.2332  1 B 1.39
O 0.2549 0.6488 0.6960  1 B 1.38
B 0.3006 0.8072 0.5963  3 O 1.38-1.39
B 0.8006 0.5963 0.8072  3 O 1.38-1.39
Pa 0.7500 0.6751 0.3249  6 O 2.18-2.21
Tl 0.2500 0.8922 0.1078  6 O 2.81-3.13
O 0.7451 0.3512 0.3040  1 B 1.38
O 0.7890 0.9931 0.3232  1 B 1.38
O 0.7110 0.6768 0.0069  1 B 1.38
O 0.2451 0.3040 0.3512  1 B 1.38
B 0.1994 0.4037 0.1928  3 O 1.38-1.39
B 0.6994 0.1928 0.4037  3 O 1.38-1.39
O 0.4387 0.7668 0.4156  1 B 1.39
O 0.5613 0.2332 0.5844  1 B 1.39
Tl 0.7500 0.1078 0.8922  6 O 2.81-3.13

=====

Entry 10:
A plane-wave DFT calculation with PBE was carried out for an optimized crystal structure of TmPaB2O8.

Computed properties:
raw formation energy = -60.11 kcal/mol of atoms
raw total energy = -98.27 eV per formula unit

Cell: 4.6588 4.6588 6.4285 Å, 111.24 111.24 90.00°
With the nearest neighbours (Å) after each atom.
Sites, in units of the cell vectors:
O 0.5652 0.7000 0.6396  1 B 1.49
O 0.6715 0.3112 0.8563  1 B 1.49
O 0.4549 0.3285 0.1437  1 B 1.49
O 0.6888 0.8152 0.1437  1 B 1.49
O 0.0744 0.9396 0.6396  1 B 1.49
O 0.0604 0.4348 0.3604  1 B 1.49
O 0.1848 0.5451 0.8563  1 B 1.49
B 0.5000 0.5000 0.0000  4 O 1.49
Tm 0.0000 0.0000 0.0000  8 O 2.29-2.38
O 0.3000 0.9256 0.3604  1 B 1.49
B 0.2500 0.7500 0.5000  4 O 1.49
Pa 0.7500 0.2500 0.5000  8 O 2.27-2.37

=====

Entry 11:
A plane-wave DFT calculation with PBE was carried out for an optimized crystal structure of PaZn3B4O12.

Computed properties:
raw formation energy = -48.82 kcal/mol of atoms
raw total energy = -141.87 eV per formula unit

Cell: 6.1742 6.1742 6.1742 Å, 102.99 102.99 102.99°
With the nearest neighbours (Å) after each atom.
Sites, in units of the cell vectors:
B 0.9559 0.0441 0.5000  3 O 1.34-1.41
O 0.8138 0.0336 0.6483  1 B 1.41
O 0.6483 0.8138 0.0336  1 B 1.41
O 0.3589 0.6411 0.5000  1 B 1.36
O 0.1862 0.3517 0.9664  1 B 1.41
O 0.0950 0.9050 0.5000  1 B 1.34
B 0.5000 0.9559 0.0441  3 O 1.34-1.41
O 0.9050 0.5000 0.0950  1 B 1.34
Zn 0.5504 0.4496 0.0000  6 O 2.07-2.14
B 0.5000 0.5000 0.5000  3 O 1.36
Zn 0.0000 0.5504 0.4496  6 O 2.07-2.14
O 0.0336 0.6483 0.8138  1 B 1.41
O 0.6411 0.5000 0.3589  1 B 1.36
B 0.0441 0.5000 0.9559  3 O 1.34-1.41
Pa 0.0000 0.0000 0.0000  6 O 2.30
O 0.5000 0.0950 0.9050  1 B 1.34
Zn 0.4496 0.0000 0.5504  6 O 2.07-2.14
O 0.3517 0.9664 0.1862  1 B 1.41
O 0.9664 0.1862 0.3517  1 B 1.41
O 0.5000 0.3589 0.6411  1 B 1.36

=====

Entry 12:
A plane-wave DFT calculation with PBE was carried out for an optimized crystal structure of PaZn2BO6.

Computed properties:
raw formation energy = -40.68 kcal/mol of atoms
raw total energy = -66.11 eV per formula unit

Cell: 4.5563 5.3228 5.3228 Å, 90.00 90.00 90.00°
With the nearest neighbours (Å) after each atom.
Sites, in units of the cell vectors:
B 0.5944 0.0000 0.0000  1 O 1.33
Zn 0.9343 0.0000 0.5000  4 O 2.11
Pa 0.6082 0.5000 0.5000  5 O 2.09-2.16
O 0.7312 0.2224 0.7776  1 B 1.79
O 0.3016 0.0000 0.0000  1 B 1.33
O 0.1490 0.5000 0.5000  1 Pa 2.09
Zn 0.9343 0.5000 0.0000  4 O 2.11
O 0.7312 0.2224 0.2224  1 B 1.79
O 0.7312 0.7776 0.2224  1 B 1.79
O 0.7312 0.7776 0.7776  1 B 1.79